# 1
# CeDyPaN3 | Alexandria via LeMat-Bulk | PBE | optimized geometry
# - Raw formation energy: -1.422 eV per atom
# - Magnetic moment: 1.137 Bohr magnetons per cell
# - Crystal system: monoclinic
data_CeDyPaN3
_cell_length_a 6.0659
_cell_length_b 3.4887
_cell_length_c 9.1003
_cell_angle_alpha 90.00
_cell_angle_beta 102.03
_cell_angle_gamma 90.00
_space_group_name_H-M_alt 'P 1 21/m 1'
_space_group_IT_number 11
loop_
_space_group_symop_operation_xyz
'x,y,z'
'-x,-y,-z'
'-x,y+1/2,-z'
'x,-y+1/2,z'
loop_
_atom_site_label
_atom_site_type_symbol
_atom_site_fract_x
_atom_site_fract_y
_atom_site_fract_z
_atom_site_occupancy
Ce1 Ce 0.1455 0.2500 0.1881 1
Dy1 Dy 0.2631 0.7500 0.5414 1
Pa1 Pa 0.3670 0.2500 0.8537 1
N1 N 0.0494 0.2500 0.6698 1
N2 N 0.2342 0.7500 0.9932 1
N3 N 0.4594 0.7500 0.3404 1

---

# 2
# Ce3DyPa2N6 | Alexandria via LeMat-Bulk | PBE | optimized geometry
# - Raw formation energy: -1.618 eV per atom
# - Magnetic moment: 0.000 Bohr magnetons per cell
# - Crystal system: monoclinic
data_Ce3DyPa2N6
_cell_length_a 6.1016
_cell_length_b 10.5658
_cell_length_c 6.1482
_cell_angle_alpha 90.00
_cell_angle_beta 109.34
_cell_angle_gamma 90.00
_space_group_name_H-M_alt 'C 1 2/m 1'
_space_group_IT_number 12
loop_
_space_group_symop_operation_xyz
'x,y,z'
'-x,-y,-z'
'-x,y,-z'
'x,-y,z'
'x+1/2,y+1/2,z'
'-x+1/2,-y+1/2,-z'
'-x+1/2,y+1/2,-z'
'x+1/2,-y+1/2,z'
loop_
_atom_site_label
_atom_site_type_symbol
_atom_site_fract_x
_atom_site_fract_y
_atom_site_fract_z
_atom_site_occupancy
Ce1 Ce 0.0000 0.0000 0.0000 1
Ce2 Ce 0.0000 0.3344 0.0000 1
Dy1 Dy 0.0000 0.5000 0.5000 1
Pa1 Pa 0.0000 0.1668 0.5000 1
N1 N 0.2334 0.0000 0.7271 1
N2 N 0.2471 0.3288 0.7272 1

---

# 3
# Ce4DyPa3N8 | Alexandria via LeMat-Bulk | PBE | optimized geometry
# - Raw formation energy: -1.616 eV per atom
# - Magnetic moment: 0.000 Bohr magnetons per cell
# - Crystal system: trigonal
data_Ce4DyPa3N8
_cell_length_a 7.0567
_cell_length_b 7.0567
_cell_length_c 17.3626
_cell_angle_alpha 90.00
_cell_angle_beta 90.00
_cell_angle_gamma 120.00
_space_group_name_H-M_alt 'R -3 m'
_space_group_IT_number 166
_space_group_name_Hall '-R 3 2"'
loop_
_atom_site_label
_atom_site_type_symbol
_atom_site_fract_x
_atom_site_fract_y
_atom_site_fract_z
_atom_site_occupancy
Ce1 Ce 0.0000 0.0000 0.0000 1
Ce2 Ce 0.0000 0.5000 0.0000 1
Dy1 Dy 0.0000 0.0000 0.5000 1
Pa1 Pa 0.0000 0.5000 0.5000 1
N1 N 0.0000 0.0000 0.2418 1
N2 N 0.0077 0.5039 0.7577 1

---

Q: Which of these has the highest magnetic moment?
A: CeDyPaN3

---

Copy entry 3 word for word.
# Ce4DyPa3N8 | Alexandria via LeMat-Bulk | PBE | optimized geometry
# - Raw formation energy: -1.616 eV per atom
# - Magnetic moment: 0.000 Bohr magnetons per cell
# - Crystal system: trigonal
data_Ce4DyPa3N8
_cell_length_a 7.0567
_cell_length_b 7.0567
_cell_length_c 17.3626
_cell_angle_alpha 90.00
_cell_angle_beta 90.00
_cell_angle_gamma 120.00
_space_group_name_H-M_alt 'R -3 m'
_space_group_IT_number 166
_space_group_name_Hall '-R 3 2"'
loop_
_atom_site_label
_atom_site_type_symbol
_atom_site_fract_x
_atom_site_fract_y
_atom_site_fract_z
_atom_site_occupancy
Ce1 Ce 0.0000 0.0000 0.0000 1
Ce2 Ce 0.0000 0.5000 0.0000 1
Dy1 Dy 0.0000 0.0000 0.5000 1
Pa1 Pa 0.0000 0.5000 0.5000 1
N1 N 0.0000 0.0000 0.2418 1
N2 N 0.0077 0.5039 0.7577 1

---

Repeat the first record exactly.
# CeDyPaN3 | Alexandria via LeMat-Bulk | PBE | optimized geometry
# - Raw formation energy: -1.422 eV per atom
# - Magnetic moment: 1.137 Bohr magnetons per cell
# - Crystal system: monoclinic
data_CeDyPaN3
_cell_length_a 6.0659
_cell_length_b 3.4887
_cell_length_c 9.1003
_cell_angle_alpha 90.00
_cell_angle_beta 102.03
_cell_angle_gamma 90.00
_space_group_name_H-M_alt 'P 1 21/m 1'
_space_group_IT_number 11
loop_
_space_group_symop_operation_xyz
'x,y,z'
'-x,-y,-z'
'-x,y+1/2,-z'
'x,-y+1/2,z'
loop_
_atom_site_label
_atom_site_type_symbol
_atom_site_fract_x
_atom_site_fract_y
_atom_site_fract_z
_atom_site_occupancy
Ce1 Ce 0.1455 0.2500 0.1881 1
Dy1 Dy 0.2631 0.7500 0.5414 1
Pa1 Pa 0.3670 0.2500 0.8537 1
N1 N 0.0494 0.2500 0.6698 1
N2 N 0.2342 0.7500 0.9932 1
N3 N 0.4594 0.7500 0.3404 1